# 1
Compound: BaIn2Hg
Source: the Alexandria database
Functional: SCAN
Structure: PBEsol geometry

Geometry as POSCAR:
```
BaIn2Hg
1.0
4.794 0.000 0.000
-2.397 4.152 0.000
0.000 0.000 18.621
Ba In Hg
3 6 3
direct
0.000 0.000 0.000 Ba
0.333 0.667 0.667 Ba
0.667 0.333 0.333 Ba
0.000 0.000 0.217 In
0.000 0.000 0.783 In
0.333 0.667 0.450 In
0.333 0.667 0.884 In
0.667 0.333 0.116 In
0.667 0.333 0.550 In
0.000 0.000 0.500 Hg
0.333 0.667 0.167 Hg
0.667 0.333 0.833 Hg
```

Space-group type: No. 166
Fermi-level density of states in states/eV/cell: 5.09
Uncorrected energy in eV per formula unit: -176.295
E_form in meV per atom: -451

---

# 2
Compound: BaIn2Hg
Source: the Alexandria database
Functional: SCAN
Structure: PBEsol geometry

Geometry as POSCAR:
```
BaIn2Hg
1.0
4.854 0.000 0.000
-2.427 4.203 0.000
0.000 0.000 18.193
Ba In Hg
3 6 3
direct
0.000 0.000 0.000 Ba
0.333 0.667 0.667 Ba
0.667 0.333 0.333 Ba
0.000 0.000 0.215 In
0.000 0.000 0.499 In
0.333 0.667 0.165 In
0.333 0.667 0.882 In
0.667 0.333 0.548 In
0.667 0.333 0.832 In
0.000 0.000 0.773 Hg
0.333 0.667 0.439 Hg
0.667 0.333 0.106 Hg
```

Space-group type: No. 160
Fermi-level density of states in states/eV/cell: 6.75
Uncorrected energy in eV per formula unit: -176.456
E_form in meV per atom: -492

---

# 3
Compound: BaInHg
Source: the Alexandria database
Functional: SCAN
Structure: PBEsol geometry

Geometry as POSCAR:
```
BaInHg
1.0
5.128 0.000 0.000
-2.564 4.441 0.000
0.000 0.000 4.096
Ba In Hg
1 1 1
direct
0.000 0.000 0.000 Ba
0.667 0.333 0.500 In
0.333 0.667 0.500 Hg
```

Space-group type: No. 187
Fermi-level density of states in states/eV/cell: 1.30
Uncorrected energy in eV per formula unit: -143.008
E_form in meV per atom: -635

---

# 4
Compound: BaInHg4
Source: the Alexandria database
Functional: SCAN
Structure: PBEsol geometry

Geometry as POSCAR:
```
BaInHg4
1.0
0.000 4.320 4.320
4.320 0.000 4.320
4.320 4.320 0.000
Ba In Hg
1 1 4
direct
0.000 0.000 0.000 Ba
0.750 0.750 0.750 In
0.376 0.376 0.376 Hg
0.376 0.376 0.873 Hg
0.376 0.873 0.376 Hg
0.873 0.376 0.376 Hg
```

Space-group type: No. 216
Fermi-level density of states in states/eV/cell: 2.16
Uncorrected energy in eV per formula unit: -347.406
E_form in meV per atom: -301

---

# 5
Compound: BaZn2InHg
Source: the Alexandria database
Functional: SCAN
Structure: PBEsol geometry

Geometry as POSCAR:
```
BaZn2InHg
1.0
6.069 0.000 0.000
0.000 6.069 0.000
0.000 0.000 6.502
Ba Zn In Hg
1 2 1 1
direct
0.000 0.000 0.000 Ba
0.000 0.500 0.000 Zn
0.500 0.000 0.000 Zn
0.000 0.000 0.500 In
0.500 0.500 0.500 Hg
```

Space-group type: No. 123
Fermi-level density of states in states/eV/cell: 5.25
Uncorrected energy in eV per formula unit: -163.974
E_form in meV per atom: 832

---

# 6
Compound: Ba2HgIr
Source: the Alexandria database
Functional: SCAN
Structure: PBEsol geometry

Geometry as POSCAR:
```
Ba2HgIr
1.0
4.471 0.000 0.000
-2.236 3.872 0.000
0.000 0.000 24.254
Ba Hg Ir
6 3 3
direct
0.000 0.000 0.233 Ba
0.000 0.000 0.767 Ba
0.333 0.667 0.434 Ba
0.333 0.667 0.900 Ba
0.667 0.333 0.100 Ba
0.667 0.333 0.566 Ba
0.000 0.000 0.000 Hg
0.333 0.667 0.667 Hg
0.667 0.333 0.333 Hg
0.000 0.000 0.500 Ir
0.333 0.667 0.167 Ir
0.667 0.333 0.833 Ir
```

Space-group type: No. 166
Fermi-level density of states in states/eV/cell: 7.47
Uncorrected energy in eV per formula unit: -219.161
E_form in meV per atom: -199

---

# 7
Compound: Ba2HgIr
Source: the Alexandria database
Functional: SCAN
Structure: PBEsol geometry

Geometry as POSCAR:
```
Ba2HgIr
1.0
7.473 0.000 0.000
0.000 7.473 0.000
0.000 0.000 7.473
Ba Hg Ir
8 4 4
direct
0.000 0.000 0.000 Ba
0.000 0.500 0.500 Ba
0.250 0.250 0.250 Ba
0.250 0.750 0.750 Ba
0.500 0.000 0.500 Ba
0.500 0.500 0.000 Ba
0.750 0.250 0.750 Ba
0.750 0.750 0.250 Ba
0.000 0.000 0.500 Hg
0.000 0.500 0.000 Hg
0.500 0.000 0.000 Hg
0.500 0.500 0.500 Hg
0.250 0.250 0.750 Ir
0.250 0.750 0.250 Ir
0.750 0.250 0.250 Ir
0.750 0.750 0.750 Ir
```

Space-group type: No. 216
Fermi-level density of states in states/eV/cell: 15.80
Uncorrected energy in eV per formula unit: -218.029
E_form in meV per atom: 84

---

# 8
Compound: BaHgIr3
Source: the Alexandria database
Functional: SCAN
Structure: PBEsol geometry

Geometry as POSCAR:
```
BaHgIr3
1.0
5.035 0.000 0.000
0.000 5.035 0.000
0.000 0.000 5.035
Ba Hg Ir
1 1 3
direct
0.000 0.000 0.000 Ba
0.500 0.500 0.500 Hg
0.000 0.000 0.500 Ir
0.000 0.500 0.000 Ir
0.500 0.000 0.000 Ir
```

Space-group type: No. 221
Fermi-level density of states in states/eV/cell: 4.97
Uncorrected energy in eV per formula unit: -306.034
E_form in meV per atom: 2996